No. 1
The following is a GGA-PBE calculation of an optimized crystal structure of InHg2BiI4, from Alexandria via LeMat-Bulk.

Unit cell a=6.2874 b=8.0206 c=8.4028 alpha=110.91 beta=94.50 gamma=111.27
Last column: nearest neighbours and their distance in Å.
Element x y z (fractional)
In 0.0000 0.0000 0.0000  2 Hg 3.22-3.31, 3 I 3.28-3.40
Hg 0.1596 0.3674 0.8763  1 In 3.31, 1 Bi 3.33, 1 Hg 3.34
Hg 0.8600 0.5618 0.7112  1 In 3.22, 1 Hg 3.34
Bi 0.3548 0.6947 0.2927  4 I 2.91-3.10
I 0.2246 0.3637 0.4131  1 Bi 3.04
I 0.4943 0.9675 0.0990  1 Bi 3.10, 2 In 3.28-3.29
I 0.5328 0.0181 0.6393  1 Bi 2.91
I 0.8510 0.6617 0.2176  2 Bi 3.08-3.32

Calculated values
The crystal system is triclinic. Its space-group type is P1 (1). As for the energy relative to the elements, uncorrected: -27 kJ per mole of atoms.

No. 2
The following is a GGA-PBE calculation of an optimized crystal structure of Sr2CeN2, from Alexandria via LeMat-Bulk.

Unit cell a=3.7067 b=3.7067 c=9.9343 alpha=100.83 beta=100.83 gamma=59.99
Last column: nearest neighbours and their distance in Å.
Element x y z (fractional)
Sr 0.2329 0.2329 0.2006  3 N 2.66
Sr 0.7671 0.7671 0.7994  3 N 2.66
Ce 0.0000 0.0000 0.5000  6 N 2.51
N 0.3789 0.3789 0.6360  3 Ce 2.51, 3 Sr 2.66
N 0.6211 0.6211 0.3640  3 Ce 2.51, 3 Sr 2.66

Calculated values
The crystal system is monoclinic. Its space-group type is C2/m (12). As for the energy relative to the elements, uncorrected: -88 kJ per mole of atoms. The density of states at the Fermi level is 3.62 states/eV/f.u.

No. 3
The following is a GGA-PBE calculation of an optimized crystal structure of Nd4Rh, from Alexandria via LeMat-Bulk.

Unit cell a=7.8556 b=7.8556 c=7.8556 alpha=60.00 beta=60.00 gamma=60.00
Last column: nearest neighbours and their distance in Å.
Element x y z (fractional)
Nd 0.2103 0.7632 0.7632  1 Rh 2.66
Nd 0.2368 0.2368 0.2368  1 Rh 2.66
Nd 0.2368 0.2368 0.7897  1 Rh 2.66
Nd 0.2368 0.7897 0.2368  1 Rh 2.66
Nd 0.7632 0.2103 0.7632  1 Rh 2.66
Nd 0.7632 0.7632 0.2103  1 Rh 2.66
Nd 0.7632 0.7632 0.7632  1 Rh 2.66
Nd 0.7897 0.2368 0.2368  1 Rh 2.66
Rh 0.3750 0.3750 0.3750  4 Nd 2.66
Rh 0.6250 0.6250 0.6250  4 Nd 2.66

Calculated values
The calculation puts the formation energy at 85 meV per atom. The crystal system is cubic. The value obtained for the relative energy among the computed polymorphs is 398 meV per atom. Its space-group type is Fd-3m (227). The density of states at the Fermi level is 6.30 states/eV/f.u.

No. 4
The following is a GGA-PBE calculation of an optimized crystal structure of Sr3TlZn8, from Alexandria via LeMat-Bulk.

Unit cell a=9.9388 b=9.9388 c=9.9388 alpha=33.64 beta=33.64 gamma=33.64
Last column: nearest neighbours and their distance in Å.
Element x y z (fractional)
Sr 0.0000 0.0000 0.0000  12 Zn 3.29-3.43, 3 Tl 3.45, 1 Sr 3.60
Sr 0.1280 0.1280 0.1280  12 Zn 3.35-3.39, 4 Sr 3.59-3.60
Sr 0.5101 0.5101 0.5101  12 Zn 3.27-3.50, 1 Tl 3.45, 3 Sr 3.59
Tl 0.6328 0.6328 0.6328  12 Zn 3.29-3.44, 4 Sr 3.45
Zn 0.0666 0.0666 0.5643  6 Zn 2.82-2.89
Zn 0.0666 0.5643 0.0666  6 Zn 2.82-2.89
Zn 0.0693 0.5654 0.5654  6 Zn 2.85-2.92
Zn 0.3150 0.3150 0.3150  6 Zn 2.85-2.90
Zn 0.5643 0.0666 0.0666  6 Zn 2.82-2.89
Zn 0.5654 0.0693 0.5654  6 Zn 2.85-2.92
Zn 0.5654 0.5654 0.0693  6 Zn 2.85-2.92
Zn 0.8185 0.8185 0.8185  6 Zn 2.82-2.92

Calculated values
The calculation puts the formation energy at -146 meV per atom. The crystal system is trigonal. Its space-group type is R3m (160). The density of states at the Fermi level is 5.47 states/eV/f.u.

No. 5
The following is a GGA-PBE calculation of an optimized crystal structure of TbDy2Mg3, from Alexandria via LeMat-Bulk.

Unit cell a=3.7961 b=3.7961 c=11.3318 alpha=90.00 beta=90.00 gamma=90.00
Last column: nearest neighbours and their distance in Å.
Element x y z (fractional)
Tb 0.0000 0.0000 0.0000  8 Mg 3.29
Dy 0.0000 0.0000 0.3337  8 Mg 3.28
Dy 0.0000 0.0000 0.6663  8 Mg 3.28
Mg 0.5000 0.5000 0.1677  4 Dy 3.28, 4 Tb 3.29
Mg 0.5000 0.5000 0.5000  8 Dy 3.28
Mg 0.5000 0.5000 0.8323  4 Dy 3.28, 4 Tb 3.29

Calculated values
The calculation puts the formation energy at -82 meV per atom. The crystal system is tetragonal. Its space-group type is P4/mmm (123). The density of states at the Fermi level is 8.29 states/eV/f.u.

No. 6
The following is a GGA-PBE calculation of an optimized crystal structure of MgHg2Rh, from Alexandria via LeMat-Bulk.

Unit cell a=3.1989 b=3.2652 c=7.4110 alpha=90.00 beta=90.04 gamma=90.00
Last column: nearest neighbours and their distance in Å.
Element x y z (fractional)
Mg 0.0000 0.0000 0.0000  4 Rh 2.67
Hg 0.0020 0.0000 0.4203  4 Rh 2.87, 1 Mg 3.11, 2 Hg 3.20
Hg 0.5012 0.5000 0.7311  4 Mg 3.03, 8 Hg 3.20-3.27, 1 Rh 3.37
Rh 0.5003 0.5000 0.1858  4 Mg 2.67, 4 Hg 2.87

Calculated values
The calculation puts the formation energy at -129 meV per atom. The crystal system is monoclinic. Its space-group type is Pm (6). The density of states at the Fermi level is 1.46 states/eV/f.u.

No. 7
The following is a GGA-PBE calculation of an optimized crystal structure of SmEuSn4, from Alexandria via LeMat-Bulk.

Unit cell a=6.2440 b=6.2440 c=6.2440 alpha=60.00 beta=60.00 gamma=60.00
Last column: nearest neighbours and their distance in Å.
Element x y z (fractional)
Sm 0.0000 0.0000 0.0000  12 Sn 3.66, 4 Eu 3.82
Eu 0.7500 0.7500 0.7500  12 Sn 3.66, 4 Sm 3.82
Sn 0.3746 0.3746 0.3746  6 Sn 3.11-3.13
Sn 0.3746 0.3746 0.8762  6 Sn 3.11-3.13
Sn 0.3746 0.8762 0.3746  6 Sn 3.11-3.13
Sn 0.8762 0.3746 0.3746  6 Sn 3.11-3.13

Calculated values
The calculation puts the formation energy at -384 meV per atom. The crystal system is cubic. Its space-group type is F-43m (216). The density of states at the Fermi level is 4.93 states/eV/f.u.

No. 8
The following is a GGA-PBE calculation of an optimized crystal structure of AcPa2CoN5, from Alexandria via LeMat-Bulk.

Unit cell a=7.3643 b=7.3643 c=7.3643 alpha=126.71 beta=126.71 gamma=78.73
Last column: nearest neighbours and their distance in Å.
Element x y z (fractional)
Ac 0.2500 0.2500 0.0000  10 N 2.85-2.89
Ac 0.7500 0.7500 0.0000  10 N 2.85-2.89
Pa 0.1765 0.6765 0.8530  4 N 2.24-2.43
Pa 0.3235 0.1765 0.5000  4 N 2.24-2.43
Pa 0.6765 0.8235 0.5000  4 N 2.24-2.43
Pa 0.8235 0.3235 0.1470  4 N 2.24-2.43
Co 0.2500 0.7500 0.5000  4 N 1.91
Co 0.7500 0.2500 0.5000  4 N 1.91
N 0.0000 0.0000 0.0000  4 Pa 2.43
N 0.0129 0.2272 0.5000  1 Co 1.91
N 0.2272 0.7272 0.2144  1 Co 1.91
N 0.2728 0.4871 0.5000  1 Co 1.91
N 0.4871 0.9871 0.2144  1 Co 1.91
N 0.5000 0.5000 0.0000  4 Pa 2.43
N 0.5129 0.0129 0.7856  1 Co 1.91
N 0.7272 0.5129 0.5000  1 Co 1.91
N 0.7728 0.2728 0.7856  1 Co 1.91
N 0.9871 0.7728 0.5000  1 Co 1.91

Calculated values
The crystal system is tetragonal. Its space-group type is I4/mcm (140). As for the energy relative to the elements, uncorrected: -116 kJ per mole of atoms. The density of states at the Fermi level is 6.10 states/eV/f.u.